No. 1
{"formula": "CoSiBr2", "functional": "PBE", "state": "optimized geometry", "cell": [[-2.303, -1.353, -1.872], [0.937, -2.965, 0.987], [-5.753, 0.433, 6.765]], "species": ["Si", "Co", "Br", "Br"], "frac_coords": [[0.500, 0.500, 0.582], [0.000, 0.000, 0.662], [0.500, 0.500, 0.331], [0.000, 0.000, 0.925]], "m_tot_mub_per_atom": 0.493, "e_form_raw_ev_per_atom": -0.0343}


No. 2
{"formula": "CoSiBr2", "functional": "PBE", "state": "optimized geometry", "cell": [[3.761, 0.000, 0.000], [0.000, 3.354, -0.145], [0.000, -3.385, 7.320]], "species": ["Br", "Si", "Co", "Br"], "frac_coords": [[0.000, 0.179, 0.033], [0.500, 0.750, 0.750], [0.500, 0.250, 0.250], [0.000, 0.321, 0.467]], "m_tot_mub_per_atom": 0.472, "e_form_raw_ev_per_atom": 0.5155}


No. 3
{"formula": "CoSi2Br", "functional": "PBE", "state": "optimized geometry", "cell": [[2.988, 0.000, 0.000], [0.000, 5.260, 0.104], [0.000, 3.101, 4.250]], "species": ["Si", "Si", "Br", "Co"], "frac_coords": [[0.000, 0.944, 0.944], [0.000, 0.556, 0.556], [0.500, 0.250, 0.250], [0.500, 0.750, 0.750]], "m_tot_mub_per_atom": 0.015, "e_form_raw_ev_per_atom": 0.2086}


No. 4
{"formula": "Co2SiBr", "functional": "PBE", "state": "optimized geometry", "cell": [[-1.790, 0.652, -3.186], [1.673, -2.923, -1.538], [-4.314, -3.397, 1.728]], "species": ["Co", "Br", "Co", "Si"], "frac_coords": [[0.500, 0.375, 0.138], [0.500, 0.876, 0.878], [0.000, 0.875, 0.136], [0.000, 0.374, 0.348]], "m_tot_mub_per_atom": 0.214, "e_form_raw_ev_per_atom": 0.2020}


Number 1: uncorrected energy -16.01 eV/cell. Number 2: uncorrected energy -13.81 eV/cell. Number 3: uncorrected energy -18.79 eV/cell. Number 4: uncorrected energy -20.50 eV/cell.